Record 1
Li2BiO | PBE-GGA | optimized geometry

```
Li2BiO
1.0
-5.790 0.191 0.422
0.200 -3.738 4.441
-2.500 1.365 5.060
Li O Bi
4 2 2
direct
0.372 0.625 0.250
0.875 0.628 0.750
0.375 0.622 0.750
0.378 0.125 0.250
0.500 0.500 0.000
0.250 0.750 0.500
0.750 0.250 0.500
0.000 0.000 0.000
```

Values from the calculation:
DOS at the Fermi energy	0.130	states/eV/atom
symmetry	I-42d
crystal system	tetragonal


Record 2
Li2BiO3 | PBE-GGA | optimized geometry

```
Li2BiO3
1.0
4.856 2.933 -0.044
-4.856 2.933 -0.044
0.000 1.445 10.308
Li O Bi
8 12 4
direct
0.000 0.500 0.000
0.073 0.285 0.512
0.767 0.233 0.750
0.285 0.073 0.012
0.500 0.000 0.500
0.715 0.927 0.988
0.233 0.767 0.250
0.927 0.715 0.488
0.174 0.062 0.369
0.859 0.369 0.382
0.631 0.141 0.118
0.141 0.631 0.618
0.062 0.174 0.869
0.826 0.938 0.631
0.555 0.784 0.362
0.369 0.859 0.882
0.784 0.555 0.862
0.938 0.826 0.131
0.216 0.445 0.138
0.445 0.216 0.638
0.896 0.104 0.250
0.104 0.896 0.750
0.441 0.559 0.750
0.559 0.441 0.250
```

Values from the calculation:
symmetry	C2/c
crystal system	monoclinic


Record 3
LiBiO | PBE-GGA | optimized geometry

```
LiBiO
1.0
-1.542 2.232 -1.631
-3.579 -1.939 3.803
1.926 4.228 3.964
Li Bi O
2 2 2
direct
0.000 0.000 0.000
0.000 0.000 0.500
0.728 0.457 0.250
0.272 0.543 0.750
0.527 0.054 0.250
0.473 0.946 0.750
```

Values from the calculation:
DOS at the Fermi energy	0.284	states/eV/atom
symmetry	Cmcm
crystal system	orthorhombic


Record 4
LiBi3O6 | PBE-GGA | optimized geometry

```
LiBi3O6
1.0
5.704 0.000 -0.056
0.000 6.226 0.000
-0.015 0.000 7.923
O Bi Li
12 6 2
direct
0.370 0.552 0.746
0.824 0.664 0.951
0.870 0.948 0.246
0.630 0.448 0.254
0.676 0.164 0.549
0.176 0.336 0.049
0.153 0.305 0.441
0.847 0.695 0.559
0.653 0.195 0.941
0.130 0.052 0.754
0.347 0.805 0.059
0.324 0.836 0.451
0.000 0.000 0.500
0.003 0.555 0.251
0.500 0.500 0.000
0.497 0.055 0.249
0.997 0.445 0.749
0.503 0.945 0.751
0.500 0.500 0.500
0.000 0.000 0.000
```

Values from the calculation:
symmetry	P2_1/c
crystal system	monoclinic


Record 5
Li5BiO5 | PBE-GGA | optimized geometry

```
Li5BiO5
1.0
4.271 0.000 0.000
-2.135 4.995 -0.035
0.001 -1.973 5.709
O Li Bi
5 5 1
direct
0.500 0.000 0.000
0.149 0.298 0.820
0.165 0.330 0.327
0.851 0.702 0.180
0.835 0.670 0.673
0.709 0.419 0.341
0.291 0.581 0.659
0.000 0.000 0.500
0.312 0.624 0.139
0.688 0.376 0.861
0.000 0.000 0.000
```

Values from the calculation:
DOS at the Fermi energy	0.000	states/eV/atom
symmetry	C2/m
crystal system	monoclinic


Record 6
LiBi2O | PBE-GGA | optimized geometry

```
LiBi2O
1.0
5.264 0.000 0.000
0.000 5.264 0.000
2.632 2.632 7.510
Bi Li O
4 2 2
direct
0.375 0.275 0.750
0.025 0.625 0.250
0.875 0.975 0.750
0.725 0.125 0.250
0.250 0.750 0.500
0.500 0.500 0.000
0.750 0.250 0.500
0.000 0.000 0.000
```

Values from the calculation:
DOS at the Fermi energy	0.437	states/eV/atom
symmetry	I-42d
crystal system	tetragonal


Record 7
LiBi3O6 | PBE-GGA | optimized geometry

```
LiBi3O6
1.0
-6.373 1.412 -1.663
-0.370 -6.240 -2.511
-1.707 -2.026 6.194
Li Bi O
2 6 12
direct
0.000 0.000 0.000
0.500 0.500 0.500
0.742 0.436 0.917
0.917 0.742 0.436
0.258 0.564 0.083
0.564 0.083 0.258
0.436 0.917 0.742
0.083 0.258 0.564
0.188 0.529 0.406
0.812 0.471 0.594
0.320 0.905 0.084
0.471 0.594 0.812
0.529 0.406 0.188
0.680 0.095 0.916
0.095 0.916 0.680
0.594 0.812 0.471
0.916 0.680 0.095
0.406 0.188 0.529
0.905 0.084 0.320
0.084 0.320 0.905
```

Values from the calculation:
DOS at the Fermi energy	0.544	states/eV/atom
symmetry	R-3
crystal system	trigonal


Record 8
LiBiO3 | PBE-GGA | optimized geometry

```
LiBiO3
1.0
3.727 0.000 0.000
0.000 3.727 0.000
0.000 0.000 3.727
Bi O Li
1 3 1
direct
0.500 0.500 0.500
0.000 0.500 0.000
0.000 0.000 0.500
0.500 0.000 0.000
0.000 0.000 0.000
```

Values from the calculation:
DOS at the Fermi energy	0.735	states/eV/atom
symmetry	Pm-3m
crystal system	cubic


Record 9
Li5Bi4O12 | PBE-GGA | optimized geometry

```
Li5Bi4O12
1.0
5.492 -0.018 0.007
1.815 10.027 -0.128
2.269 2.383 10.311
O Li Bi
24 10 8
direct
0.986 0.248 0.335
0.108 0.065 0.874
0.498 0.968 0.632
0.982 0.043 0.613
0.502 0.032 0.368
0.018 0.957 0.387
0.519 0.563 0.733
0.892 0.935 0.126
0.982 0.535 0.241
0.777 0.447 0.517
0.223 0.553 0.483
0.705 0.565 0.004
0.573 0.252 0.838
0.295 0.435 0.996
0.014 0.752 0.665
0.357 0.081 0.086
0.481 0.437 0.267
0.840 0.266 0.032
0.643 0.919 0.914
0.427 0.748 0.162
0.160 0.734 0.968
0.375 0.259 0.537
0.018 0.465 0.759
0.625 0.741 0.463
0.216 0.113 0.684
0.787 0.744 0.036
0.784 0.887 0.316
0.213 0.256 0.964
0.427 0.413 0.625
0.232 0.096 0.268
0.168 0.618 0.815
0.832 0.382 0.185
0.573 0.587 0.375
0.768 0.904 0.732
0.267 0.909 0.021
0.860 0.610 0.594
0.140 0.390 0.406
0.322 0.574 0.112
0.277 0.894 0.524
0.723 0.106 0.476
0.678 0.426 0.888
0.733 0.091 0.979
```

Values from the calculation:
DOS at the Fermi energy	0.077	states/eV/atom
symmetry	P-1
crystal system	triclinic


Record 10
Li4BiO5 | PBE-GGA | optimized geometry

```
Li4BiO5
1.0
4.352 0.000 0.000
2.176 4.847 0.000
2.176 0.000 4.847
O Li Bi
5 4 1
direct
0.093 0.615 0.202
0.501 0.000 0.000
0.909 0.385 0.798
0.295 0.798 0.615
0.707 0.202 0.385
0.189 0.224 0.401
0.814 0.776 0.599
0.412 0.401 0.776
0.590 0.599 0.224
0.001 0.000 0.000
```

Values from the calculation:
DOS at the Fermi energy	0.642	states/eV/atom
symmetry	I4/m
crystal system	tetragonal


Record 11
LiBi4O7 | PBE-GGA | optimized geometry

```
LiBi4O7
1.0
-6.290 -0.480 2.947
-2.794 -4.356 -5.392
5.473 -3.831 4.597
O Bi Li
14 8 2
direct
0.447 0.359 0.721
0.135 0.373 0.950
0.865 0.627 0.050
0.553 0.641 0.279
0.820 0.488 0.577
0.734 0.141 0.901
0.517 0.185 0.167
0.483 0.815 0.833
0.289 0.941 0.496
0.266 0.859 0.099
0.180 0.512 0.423
0.973 0.107 0.282
0.711 0.059 0.504
0.027 0.893 0.718
0.801 0.371 0.273
0.211 0.646 0.216
0.789 0.354 0.784
0.321 0.172 0.389
0.199 0.629 0.727
0.376 0.133 0.852
0.679 0.828 0.611
0.624 0.867 0.148
0.000 0.000 0.000
0.000 0.000 0.500
```

Values from the calculation:
DOS at the Fermi energy	0.110	states/eV/atom
symmetry	P-1
crystal system	triclinic


Record 12
Li8Bi2O | PBE-GGA | optimized geometry

```
Li8Bi2O
1.0
-4.170 2.083 -0.696
-2.523 -4.938 0.342
2.586 2.339 7.467
Li Bi O
8 2 1
direct
0.596 0.331 0.193
0.000 0.231 0.999
0.401 0.128 0.802
0.226 0.228 0.452
0.599 0.872 0.198
0.404 0.669 0.807
0.000 0.769 0.001
0.774 0.772 0.548
0.839 0.338 0.677
0.161 0.662 0.323
0.500 0.000 0.000
```

Values from the calculation:
DOS at the Fermi energy	0.016	states/eV/atom
symmetry	C2/m
crystal system	monoclinic


Record 13
Li3BiO | PBE-GGA | optimized geometry

```
Li3BiO
1.0
-4.026 -0.444 -0.858
0.700 -3.874 -1.282
-0.666 -1.392 3.842
O Bi Li
1 1 3
direct
0.000 0.000 0.000
0.500 0.500 0.500
0.000 0.500 0.000
0.000 0.000 0.500
0.500 0.000 0.000
```

Values from the calculation:
DOS at the Fermi energy	0.349	states/eV/atom
symmetry	Pm-3m
crystal system	cubic


Record 14
LiBi6O8 | PBE-GGA | optimized geometry

```
LiBi6O8
1.0
6.546 -0.525 -0.542
-0.729 6.527 -0.542
-0.729 -0.752 6.506
O Li Bi
8 1 6
direct
0.205 0.205 0.205
0.848 0.501 0.151
0.501 0.151 0.848
0.499 0.849 0.152
0.151 0.848 0.501
0.795 0.795 0.795
0.152 0.499 0.849
0.849 0.152 0.499
0.000 0.000 0.000
0.218 0.573 0.218
0.427 0.782 0.782
0.573 0.218 0.218
0.782 0.782 0.427
0.782 0.427 0.782
0.218 0.218 0.573
```

Values from the calculation:
DOS at the Fermi energy	0.312	states/eV/atom
symmetry	R-3
crystal system	trigonal


Record 15
LiBiO3 | PBE-GGA | optimized geometry

```
LiBiO3
1.0
-1.841 1.474 3.423
1.493 -3.207 2.183
3.415 2.196 0.891
O Bi Li
3 1 1
direct
0.000 0.000 0.500
0.500 0.000 0.000
0.000 0.500 0.000
0.000 0.000 0.000
0.500 0.500 0.500
```

Values from the calculation:
DOS at the Fermi energy	0.355	states/eV/atom
symmetry	Pm-3m
crystal system	cubic


Record 16
Li6Bi5O14 | PBE-GGA | optimized geometry

```
Li6Bi5O14
1.0
-7.720 1.339 -2.420
-1.652 -0.346 8.025
1.591 10.586 0.784
O Bi Li
28 10 12
direct
0.213 0.787 0.333
0.009 0.429 0.401
0.404 0.596 0.941
0.778 0.489 0.170
0.596 0.404 0.441
0.511 0.222 0.170
0.991 0.571 0.901
0.064 0.936 0.883
0.461 0.136 0.662
0.429 0.009 0.901
0.136 0.864 0.645
0.277 0.208 0.378
0.810 0.912 0.639
0.787 0.213 0.833
0.936 0.064 0.383
0.208 0.277 0.878
0.864 0.539 0.662
0.912 0.810 0.139
0.088 0.190 0.639
0.136 0.461 0.162
0.539 0.864 0.162
0.792 0.723 0.378
0.190 0.088 0.139
0.723 0.792 0.878
0.489 0.778 0.670
0.864 0.136 0.145
0.571 0.991 0.401
0.222 0.511 0.670
0.465 0.535 0.762
0.369 0.005 0.267
0.936 0.758 0.765
0.631 0.995 0.767
0.758 0.936 0.265
0.995 0.631 0.267
0.535 0.465 0.262
0.005 0.369 0.767
0.064 0.242 0.265
0.242 0.064 0.765
0.276 0.724 0.580
0.724 0.276 0.080
0.195 0.354 0.522
0.805 0.646 0.022
0.805 0.487 0.491
0.004 0.996 0.043
0.487 0.805 0.991
0.195 0.513 0.991
0.354 0.195 0.022
0.513 0.195 0.491
0.646 0.805 0.522
0.996 0.004 0.543
```

Values from the calculation:
DOS at the Fermi energy	0.194	states/eV/atom
symmetry	Cmc2_1
crystal system	orthorhombic


Record 17
Li4Bi2O5 | PBE-GGA | optimized geometry

```
Li4Bi2O5
1.0
5.639 -0.026 0.025
-2.471 7.234 -0.048
-2.678 -0.785 7.310
Li O Bi
8 10 4
direct
0.271 0.745 0.412
0.729 0.255 0.588
0.133 0.682 0.031
0.839 0.996 0.348
0.871 0.671 0.670
0.129 0.329 0.330
0.161 0.004 0.652
0.867 0.318 0.969
0.974 0.510 0.188
0.026 0.490 0.812
0.964 0.785 0.462
0.966 0.106 0.136
0.433 0.889 0.243
0.036 0.215 0.538
0.034 0.894 0.864
0.483 0.657 0.627
0.517 0.343 0.373
0.567 0.111 0.757
0.323 0.416 0.752
0.344 0.113 0.118
0.656 0.887 0.882
0.677 0.584 0.248
```

Values from the calculation:
DOS at the Fermi energy	0.000	states/eV/atom
symmetry	P-1
crystal system	triclinic


| no. | E (eV per atom) | total magnetic moment (μB per cell) |
| --- | --- | --- |
| 1 | -4.209 | 0.0 |
| 2 | -5.236 | 0.0 |
| 3 | -4.599 | 0.0 |
| 4 | -5.532 | 0.0 |
| 5 | -5.105 | 0.0 |
| 6 | -3.921 | 0.0 |
| 7 | -5.489 | 0.0 |
| 8 | -4.759 | 2.0 |
| 9 | -5.317 | 0.0 |
| 10 | -5.060 | 1.1 |
| 11 | -5.553 | 0.0 |
| 12 | -3.312 | 0.0 |
| 13 | -3.882 | 0.0 |
| 14 | -5.297 | 0.0 |
| 15 | -4.990 | 0.0 |
| 16 | -5.278 | 0.0 |
| 17 | -5.235 | 0.0 |